Compound: DyNpRu2
Source: Alexandria via LeMat-Bulk
Functional: SCAN
Structure: PBEsol geometry

Computed properties:
formation energy = -137 meV per atom
density = 13.7 g/cm³
crystal system = cubic

a = 4.693 Å, b = 4.693 Å, c = 4.693 Å
α = 60.00°, β = 60.00°, γ = 60.00°
Site moments in Bohr magnetons follow the coordinates.
Positions (direct):
Np 0.000 0.000 0.000  3.50
Ru 0.750 0.750 0.750  -0.47
Dy 0.500 0.500 0.500  0.12
Ru 0.250 0.250 0.250  -0.47


Compound: Ta4TlSb
Source: Alexandria via LeMat-Bulk
Functional: SCAN
Structure: PBEsol geometry

Computed properties:
energy relative to the elements, uncorrected = 0.45 eV/atom
density = 14.6 g/cm³
crystal system = cubic

a = 5.528 Å, b = 5.528 Å, c = 5.528 Å
α = 60.00°, β = 60.00°, γ = 60.00°
Positions (direct):
Ta 0.376 0.376 0.873
Ta 0.376 0.873 0.376
Tl 0.750 0.750 0.750
Sb 0.000 0.000 0.000
Ta 0.376 0.376 0.376
Ta 0.873 0.376 0.376


Compound: LiSiRh4
Source: Alexandria via LeMat-Bulk
Functional: SCAN
Structure: PBEsol geometry

Computed properties:
energy relative to the elements, uncorrected = 0.19 eV/atom
density = 8.4 g/cm³
crystal system = cubic

a = 5.005 Å, b = 5.005 Å, c = 5.005 Å
α = 60.00°, β = 60.00°, γ = 60.00°
Positions (direct):
Rh 0.375 0.874 0.375
Si 0.750 0.750 0.750
Li 0.000 0.000 0.000
Rh 0.874 0.375 0.375
Rh 0.375 0.375 0.874
Rh 0.375 0.375 0.375


Compound: Ba3CaPt
Source: Alexandria via LeMat-Bulk
Functional: SCAN
Structure: PBEsol geometry

Computed properties:
formation energy = -423 meV per atom
density = 4.5 g/cm³
crystal system = cubic

a = 6.189 Å, b = 6.189 Å, c = 6.189 Å
α = 90.00°, β = 90.00°, γ = 90.00°
Positions (direct):
Pt 0.000 0.000 0.000
Ba 0.000 0.500 0.000
Ca 0.500 0.500 0.500
Ba 0.000 0.000 0.500
Ba 0.500 0.000 0.000


Compound: In2Ga2Bi
Source: Alexandria via LeMat-Bulk
Functional: SCAN
Structure: PBEsol geometry

Computed properties:
formation energy = 130 meV per atom
density = 7.9 g/cm³
crystal system = tetragonal

a = 3.833 Å, b = 3.833 Å, c = 8.675 Å
α = 102.76°, β = 102.76°, γ = 90.00°
Positions (direct):
In 0.392 0.392 0.783
In 0.608 0.608 0.217
Ga 0.250 0.750 0.500
Bi 0.000 0.000 0.000
Ga 0.750 0.250 0.500


Compound: VOF
Source: Alexandria via LeMat-Bulk
Functional: SCAN
Structure: PBEsol geometry

Computed properties:
energy relative to the elements, uncorrected = -2.89 eV/atom
density = 4.5 g/cm³
crystal system = monoclinic

a = 4.610 Å, b = 5.931 Å, c = 9.781 Å
α = 107.30°, β = 90.00°, γ = 90.00°
Site moments in Bohr magnetons follow the coordinates.
Positions (direct):
O 0.199 0.760 0.278  -0.05
V 0.465 0.957 0.646  1.90
O 0.820 0.353 0.462  -0.06
O 0.699 0.240 0.722  -0.05
O 0.293 0.387 0.025  -0.07
V 0.999 0.798 0.876  2.04
V 0.040 0.583 0.396  1.92
O 0.182 0.013 0.787  -0.07
V 0.499 0.202 0.124  2.04
V 0.999 0.323 0.874  1.88
O 0.793 0.613 0.975  -0.07
V 0.499 0.677 0.126  1.88
O 0.682 0.987 0.213  -0.07
F 0.215 0.508 0.768  0.03
V 0.965 0.043 0.354  1.90
F 0.706 0.732 0.722  0.02
F 0.289 0.132 0.519  0.03
F 0.789 0.868 0.481  0.03
O 0.320 0.647 0.538  -0.06
F 0.292 0.891 0.029  0.02
F 0.715 0.492 0.232  0.03
F 0.792 0.109 0.971  0.02
V 0.540 0.417 0.604  1.92
F 0.206 0.268 0.278  0.02


Compound: TlCd2SCl
Source: Alexandria via LeMat-Bulk
Functional: SCAN
Structure: PBEsol geometry

Computed properties:
energy relative to the elements, uncorrected = -0.09 eV/atom
density = 5.0 g/cm³
crystal system = tetragonal

a = 4.880 Å, b = 4.880 Å, c = 6.918 Å
α = 90.00°, β = 90.00°, γ = 90.00°
Positions (direct):
S 0.000 0.000 0.000
Cd 0.500 0.000 0.000
Cd 0.000 0.500 0.000
Tl 0.500 0.500 0.500
Cl 0.000 0.000 0.500


Compound: SrLaAg2
Source: Alexandria via LeMat-Bulk
Functional: SCAN
Structure: PBEsol geometry

Computed properties:
formation energy = -296 meV per atom
density = 6.5 g/cm³
crystal system = monoclinic

a = 4.086 Å, b = 4.867 Å, c = 6.062 Å
α = 90.00°, β = 109.63°, γ = 90.00°
Positions (direct):
Sr 0.234 0.500 0.842
La 0.512 0.000 0.399
Ag 0.804 0.000 0.981
Ag 0.951 0.500 0.278


Compound: BaSrTl4
Source: Alexandria via LeMat-Bulk
Functional: SCAN
Structure: PBEsol geometry

Computed properties:
formation energy = -424 meV per atom
density = 9.2 g/cm³
crystal system = cubic

a = 6.423 Å, b = 6.423 Å, c = 6.423 Å
α = 60.00°, β = 60.00°, γ = 60.00°
Positions (direct):
Tl 0.876 0.375 0.375
Sr 0.000 0.000 0.000
Ba 0.750 0.750 0.750
Tl 0.375 0.375 0.375
Tl 0.375 0.876 0.375
Tl 0.375 0.375 0.876


Compound: ZrAg2Au
Source: Alexandria via LeMat-Bulk
Functional: SCAN
Structure: PBEsol geometry

Computed properties:
formation energy = -262 meV per atom
relative energy among the computed polymorphs = 0.0422 eV per atom
density = 11.7 g/cm³
crystal system = orthorhombic

a = 3.031 Å, b = 3.745 Å, c = 6.306 Å
α = 90.00°, β = 90.00°, γ = 90.00°
Positions (direct):
Ag 0.000 0.000 0.018
Ag 0.500 0.500 0.247
Zr 0.500 0.500 0.742
Au 0.000 0.000 0.493


Compound: CaZr2Te
Source: Alexandria via LeMat-Bulk
Functional: SCAN
Structure: PBEsol geometry

Computed properties:
energy relative to the elements, uncorrected = -0.22 eV/atom
density = 5.9 g/cm³
crystal system = monoclinic

a = 3.440 Å, b = 5.273 Å, c = 5.839 Å
α = 104.41°, β = 107.13°, γ = 90.00°
Positions (direct):
Zr 0.776 0.779 0.551
Zr 0.224 0.221 0.449
Te 0.500 0.000 0.000
Ca 0.000 0.500 0.000


Compound: In2OsW
Source: Alexandria via LeMat-Bulk
Functional: SCAN
Structure: PBEsol geometry

Computed properties:
formation energy = 536 meV per atom
relative energy among the computed polymorphs = 0.0000 eV per atom
density = 13.6 g/cm³
crystal system = orthorhombic

a = 2.885 Å, b = 4.696 Å, c = 6.112 Å
α = 112.59°, β = 103.65°, γ = 90.00°
Positions (direct):
W 0.216 0.716 0.431
Os 0.523 0.523 0.046
In 0.783 0.283 0.566
In 0.978 0.978 0.956